Material: InGa3C
Method: DFT, GGA-PBE
State: relaxed

Cell lengths 5.305, 5.305, 5.305 Å; angles 90.00, 90.00, 90.00 degrees
Fractional coordinates of all 5 atoms:
In 0.000 0.000 0.000
Ga 0.000 0.000 0.500
Ga 0.000 0.500 0.000
Ga 0.500 0.000 0.000
C 0.500 0.500 0.500

Computed properties:
energy relative to the elements: 1.762 eV/atom
symmetry: Pm-3m, No. 221
energy relative to the lowest polymorph listed for this composition: 1107.0 meV/atom



Material: InGaC3
Method: DFT, GGA-PBE
State: relaxed

Cell lengths 4.074, 4.074, 4.074 Å; angles 90.00, 90.00, 90.00 degrees
Fractional coordinates of all 5 atoms:
In 0.000 0.000 0.000
Ga 0.500 0.500 0.500
C 0.000 0.500 0.500
C 0.500 0.000 0.500
C 0.500 0.500 0.000

Computed properties:
energy relative to the elements: 2.512 eV/atom
symmetry: Pm-3m, No. 221
energy relative to the lowest polymorph listed for this composition: 0.0 meV/atom



Material: Nb2InGaC
Method: DFT, GGA-PBE
State: relaxed

Cell lengths 4.346, 4.346, 4.486 Å; angles 90.00, 90.00, 90.00 degrees
Fractional coordinates of all 5 atoms:
Nb 0.000 0.500 0.000
Nb 0.500 0.000 0.000
In 0.000 0.000 0.500
Ga 0.500 0.500 0.500
C 0.000 0.000 0.000

Computed properties:
energy relative to the elements: 0.290 eV/atom
symmetry: P4/mmm, No. 123



Material: TiInGaNiC
Method: DFT, GGA-PBE
State: relaxed

Cell lengths 4.242, 4.242, 6.716 Å; angles 118.24, 118.24, 44.55 degrees
Fractional coordinates of all 5 atoms:
Ti 0.000 0.000 0.000
In 0.856 0.856 0.336
Ga 0.612 0.612 0.741
Ni 0.266 0.266 0.591
C 0.301 0.301 0.923

Computed properties:
energy relative to the elements: 0.069 eV/atom
symmetry: Cm, No. 8
energy relative to the lowest polymorph listed for this composition: 206.4 meV/atom



Material: TiInGaNiC
Method: DFT, GGA-PBE
State: relaxed

Cell lengths 3.024, 5.332, 5.578 Å; angles 61.55, 74.34, 73.56 degrees
Fractional coordinates of all 5 atoms:
Ti 0.000 0.000 0.000
In 0.911 0.592 0.576
Ga 0.703 0.456 0.137
Ni 0.220 0.072 0.486
C 0.615 0.025 0.744

Computed properties:
energy relative to the elements: 0.042 eV/atom
symmetry: P1, No. 1
energy relative to the lowest polymorph listed for this composition: 179.1 meV/atom



Material: TiInGaNiC
Method: DFT, GGA-PBE
State: relaxed

Cell lengths 4.911, 3.039, 5.038 Å; angles 90.00, 107.89, 90.00 degrees
Fractional coordinates of all 5 atoms:
Ti 0.000 0.000 0.000
In 0.854 0.500 0.466
Ga 0.472 0.500 0.905
Ni 0.388 0.000 0.494
C 0.237 0.500 0.222

Computed properties:
energy relative to the elements: -0.026 eV/atom
symmetry: Pm, No. 6
energy relative to the lowest polymorph listed for this composition: 111.2 meV/atom



Material: TiInGaNiC
Method: DFT, GGA-PBE
State: relaxed

Cell lengths 3.138, 3.138, 8.970 Å; angles 99.70, 99.70, 60.80 degrees
Fractional coordinates of all 5 atoms:
Ti 0.000 0.000 0.000
In 0.517 0.517 0.540
Ga 0.755 0.755 0.253
Ni 0.264 0.264 0.784
C 0.628 0.628 0.880

Computed properties:
energy relative to the elements: -0.087 eV/atom
symmetry: Cm, No. 8
energy relative to the lowest polymorph listed for this composition: 50.6 meV/atom



Material: TiInGaNiC
Method: DFT, GGA-PBE
State: relaxed

Cell lengths 5.272, 5.272, 5.065 Å; angles 114.72, 114.72, 34.12 degrees
Fractional coordinates of all 5 atoms:
Ti 0.000 0.000 0.000
In 0.438 0.438 0.443
Ga 0.230 0.230 0.831
Ni 0.716 0.716 0.423
C 0.626 0.626 0.979

Computed properties:
energy relative to the elements: -0.017 eV/atom
symmetry: Cm, No. 8
energy relative to the lowest polymorph listed for this composition: 120.2 meV/atom



Material: TiInGaNiC
Method: DFT, GGA-PBE
State: relaxed

Cell lengths 5.028, 5.028, 5.319 Å; angles 109.95, 109.95, 35.70 degrees
Fractional coordinates of all 5 atoms:
Ti 0.000 0.000 0.000
In 0.787 0.787 0.361
Ga 0.235 0.235 0.813
Ni 0.532 0.532 0.483
C 0.604 0.604 0.889

Computed properties:
energy relative to the elements: 0.056 eV/atom
symmetry: Cm, No. 8
energy relative to the lowest polymorph listed for this composition: 193.8 meV/atom



Material: TiInGaNiC
Method: DFT, GGA-PBE
State: relaxed

Cell lengths 3.141, 3.145, 8.942 Å; angles 89.06, 89.21, 60.40 degrees
Fractional coordinates of all 5 atoms:
Ti 0.000 0.000 0.000
In 0.341 0.349 0.554
Ga 0.332 0.330 0.248
Ni 0.671 0.674 0.784
C 0.336 0.337 0.886

Computed properties:
energy relative to the elements: -0.094 eV/atom
symmetry: P1, No. 1
energy relative to the lowest polymorph listed for this composition: 43.5 meV/atom



Material: TiInGaNiC
Method: DFT, GGA-PBE
State: relaxed

Cell lengths 3.987, 3.263, 5.554 Å; angles 90.00, 97.01, 90.00 degrees
Fractional coordinates of all 5 atoms:
Ti 0.000 0.000 0.000
In 0.552 0.500 0.282
Ga 0.092 0.000 0.525
Ni 0.472 0.500 0.794
C 0.961 0.500 0.765

Computed properties:
energy relative to the elements: -0.019 eV/atom
symmetry: Pm, No. 6
energy relative to the lowest polymorph listed for this composition: 118.0 meV/atom



Material: TiInGaNiC
Method: DFT, GGA-PBE
State: relaxed

Cell lengths 3.122, 3.122, 9.150 Å; angles 103.82, 103.82, 62.27 degrees
Fractional coordinates of all 5 atoms:
Ti 0.000 0.000 0.000
In 0.786 0.786 0.549
Ga 0.778 0.778 0.247
Ni 0.562 0.562 0.782
C 0.280 0.280 0.885

Computed properties:
energy relative to the elements: -0.138 eV/atom
symmetry: Cm, No. 8
energy relative to the lowest polymorph listed for this composition: 0.0 meV/atom